MnSiPt2 | PBE | optimized geometry

Raw formation energy (eV/atom): -0.4107
Magnetization (μB per formula unit): 4.1
Final energy (eV per atom): -7.079
Crystal system: monoclinic

The structure in POSCAR format:
```
MnSiPt2
1.0
-1.385 4.517 0.539
-2.722 3.236 -2.174
-3.854 -0.001 1.900
Mn Pt Si
1 2 1
direct
0.241 0.241 0.216
0.994 0.994 0.029
0.771 0.771 0.679
0.493 0.493 0.575
```